[1]
PmBeFe: relaxed, PBE-GGA. Values from VASP.

Quantum ESPRESSO input file:
```
&SYSTEM
  ibrav = 0, nat = 3, ntyp = 3
/
ATOMIC_SPECIES
Fe 55.84 Fe.upf
Be 9.01 Be.upf
Pm 145.00 Pm.upf
ATOMIC_POSITIONS angstrom
Fe 4.6623 4.6623 4.6623
Be 1.5541 1.5541 1.5541
Pm 0.0000 0.0000 0.0000
CELL_PARAMETERS angstrom
0.0000 3.1082 3.1082
3.1082 0.0000 3.1082
3.1082 3.1082 0.0000
```

calculated volume	20.02	A^3/atom
energy above the lowest structure with this stoichiometry	700	meV/atom
electronic total energy	-4.318	eV/atom



[2]
CsKRb2Nb2O5: relaxed, PBE-GGA. Values from VASP.

Quantum ESPRESSO input file:
```
&SYSTEM
  ibrav = 0, nat = 11, ntyp = 5
/
ATOMIC_SPECIES
O 16.00 O.upf
Nb 92.91 Nb.upf
K 39.10 K.upf
Rb 85.47 Rb.upf
Cs 132.91 Cs.upf
ATOMIC_POSITIONS angstrom
O 1.1841 0.7902 3.6498
O -0.6038 0.4707 6.2590
O 0.7727 -1.9891 8.0128
Nb -0.7133 -1.0193 7.5156
O -1.8678 0.7676 3.3570
K -0.5947 3.1445 5.9575
Rb -0.8251 5.9340 8.1439
Cs -0.9658 2.4906 9.8763
O -2.2524 -2.0115 7.7227
Rb -0.5111 -3.9808 5.6354
Nb -0.4168 0.1943 4.3299
CELL_PARAMETERS angstrom
2.9937 3.0535 4.3916
-3.8183 3.0031 3.7382
-0.2981 -6.9625 3.6454
```

calculated volume	24.59	A^3/atom
electronic total energy	-6.149	eV/atom



[3]
RbGdCdSe3: relaxed, PBE-GGA. Values from VASP.

Quantum ESPRESSO input file:
```
&SYSTEM
  ibrav = 0, nat = 12, ntyp = 4
/
ATOMIC_SPECIES
Se 78.96 Se.upf
Rb 85.47 Rb.upf
Cd 112.41 Cd.upf
Gd 157.25 Gd.upf
ATOMIC_POSITIONS angstrom
Se 8.2528 3.2256 1.4961
Rb -0.1490 3.2256 7.4804
Se 0.9029 1.0752 4.4517
Cd 2.4290 3.2256 3.8511
Gd 4.4498 3.2256 8.6381
Se 4.6888 3.2256 5.4983
Se 2.4458 1.0752 8.6193
Se 3.1459 3.2256 1.3307
Cd 3.1627 1.0752 6.0988
Se -2.6611 1.0752 8.4538
Gd 1.1419 1.0752 1.3119
Rb 5.7407 1.0752 2.4695
CELL_PARAMETERS angstrom
9.0543 0.0000 0.0000
0.0000 4.3007 0.0000
-3.4627 0.0000 9.9499
```

calculated volume	32.29	A^3/atom
electronic total energy	-4.172	eV/atom



[4]
BeTcAgOs: relaxed, PBE-GGA. Values from VASP.

Quantum ESPRESSO input file:
```
&SYSTEM
  ibrav = 0, nat = 4, ntyp = 4
/
ATOMIC_SPECIES
Os 190.23 Os.upf
Be 9.01 Be.upf
Tc 98.00 Tc.upf
Ag 107.87 Ag.upf
ATOMIC_POSITIONS angstrom
Os 0.0000 0.0000 0.0000
Be -7.4376 1.6213 -2.0627
Tc -2.4792 0.5404 -0.6876
Ag -4.9584 1.0808 -1.3751
CELL_PARAMETERS angstrom
-3.4490 -1.4496 -2.1056
-3.9371 0.8672 1.4756
-2.5308 2.7441 -2.1202
```

calculated volume	13.99	A^3/atom
energy above the lowest structure with this stoichiometry	0	meV/atom
electronic total energy	-6.598	eV/atom



[5]
Cs2TbHoS4: relaxed, PBE-GGA. Values from VASP.

Quantum ESPRESSO input file:
```
&SYSTEM
  ibrav = 0, nat = 8, ntyp = 4
/
ATOMIC_SPECIES
S 32.06 S.upf
Tb 158.93 Tb.upf
Ho 164.93 Ho.upf
Cs 132.91 Cs.upf
ATOMIC_POSITIONS angstrom
S 6.1067 3.0050 1.4773
Tb 7.9188 1.2848 0.2405
Ho 0.0000 0.0000 0.0000
S 1.0764 2.1889 1.3245
S 14.3534 2.2114 2.7991
Cs 11.5239 3.8839 1.6419
S 9.3232 1.3953 2.6463
Cs 3.9060 0.5164 2.4818
CELL_PARAMETERS angstrom
-0.6613 4.0384 0.2005
0.2536 -2.2077 3.4421
15.8375 2.5695 0.4811
```

calculated volume	29.17	A^3/atom
electronic total energy	-5.263	eV/atom



[6]
NpTaPd: relaxed, PBE-GGA. Values from VASP.

Quantum ESPRESSO input file:
```
&SYSTEM
  ibrav = 0, nat = 3, ntyp = 3
/
ATOMIC_SPECIES
Np 237.00 Np.upf
Ta 180.95 Ta.upf
Pd 106.42 Pd.upf
ATOMIC_POSITIONS angstrom
Np 0.9586 -6.9282 4.4764
Ta 0.3195 -2.3094 1.4922
Pd 0.0000 0.0000 0.0000
CELL_PARAMETERS angstrom
-0.5374 -4.4881 0.0154
2.9919 -2.6272 2.1396
-1.1763 -2.1223 3.8136
```

calculated volume	21.77	A^3/atom
energy above the lowest structure with this stoichiometry	0	meV/atom
calculated formation energy	684	meV per atom
electronic total energy	-9.249	eV/atom



[7]
Ta2CdSn: relaxed, PBE-GGA. Values from VASP.

Quantum ESPRESSO input file:
```
&SYSTEM
  ibrav = 0, nat = 4, ntyp = 3
/
ATOMIC_SPECIES
Cd 112.41 Cd.upf
Sn 118.71 Sn.upf
Ta 180.95 Ta.upf
ATOMIC_POSITIONS angstrom
Cd -0.7140 -2.7718 -0.7171
Sn -1.4281 -5.5437 -1.4343
Ta 0.0000 0.0000 0.0000
Ta -2.1421 -8.3155 -2.1514
CELL_PARAMETERS angstrom
0.9022 -4.6499 0.8854
-3.5781 -3.2231 -0.1686
-0.1802 -3.2144 -3.5853
```

calculated volume	19.78	A^3/atom
electronic total energy	-6.627	eV/atom



[8]
CdInHgAu: relaxed, PBE-GGA. Values from VASP.

Quantum ESPRESSO input file:
```
&SYSTEM
  ibrav = 0, nat = 4, ntyp = 4
/
ATOMIC_SPECIES
Hg 200.59 Hg.upf
Au 196.97 Au.upf
Cd 112.41 Cd.upf
In 114.82 In.upf
ATOMIC_POSITIONS angstrom
Hg 1.7854 1.7854 1.7854
Au 5.3563 5.3563 5.3563
Cd 3.5709 3.5709 3.5709
In 0.0000 0.0000 0.0000
CELL_PARAMETERS angstrom
0.0000 3.5709 3.5709
3.5709 0.0000 3.5709
3.5709 3.5709 0.0000
```

calculated volume	22.77	A^3/atom
energy above the lowest structure with this stoichiometry	0	meV/atom
electronic total energy	-1.823	eV/atom



[9]
CsHg3Pd: relaxed, PBE-GGA. Values from VASP.

Quantum ESPRESSO input file:
```
&SYSTEM
  ibrav = 0, nat = 5, ntyp = 3
/
ATOMIC_SPECIES
Pd 106.42 Pd.upf
Cs 132.91 Cs.upf
Hg 200.59 Hg.upf
ATOMIC_POSITIONS angstrom
Pd -3.4732 -2.8708 1.4700
Cs 0.0000 0.0000 0.0000
Hg -3.3841 -1.6140 -0.9592
Hg -0.8445 -3.5815 1.1988
Hg -2.7178 -0.5462 2.7005
CELL_PARAMETERS angstrom
-1.5108 -4.6493 -2.4609
-0.1782 -2.5137 4.8585
-5.2574 1.4213 0.5425
```

calculated volume	32.79	A^3/atom
electronic total energy	-1.670	eV/atom



[10]
Tb5Co2Hg: relaxed, PBE-GGA. Values from VASP.

Quantum ESPRESSO input file:
```
&SYSTEM
  ibrav = 0, nat = 16, ntyp = 3
/
ATOMIC_SPECIES
Co 58.93 Co.upf
Tb 158.93 Tb.upf
Hg 200.59 Hg.upf
ATOMIC_POSITIONS angstrom
Co 4.8371 1.0266 0.0000
Tb 2.5810 1.2294 1.7560
Tb 1.2294 5.0399 -1.7560
Tb 1.2294 5.0399 1.7560
Tb 2.5810 1.2294 -1.7560
Co 2.7838 1.0266 6.6286
Tb 0.0000 0.0000 0.0000
Hg 0.0000 0.0000 9.9429
Co -1.0266 2.7838 6.6286
Tb 2.5810 -1.2294 8.3846
Tb 1.2294 2.5810 4.8726
Tb 1.2294 2.5810 8.3846
Tb 2.5810 -1.2294 4.8726
Hg 0.0000 0.0000 3.3143
Tb 0.0000 0.0000 6.6286
Co 1.0266 2.7838 0.0000
CELL_PARAMETERS angstrom
-3.8105 3.8105 6.6286
3.8105 -3.8105 6.6286
3.8105 3.8105 -6.6286
```

calculated volume	24.06	A^3/atom
calculated formation energy	-263	meV per atom
electronic total energy	-4.970	eV/atom



[11]
SnOsS3: relaxed, PBE-GGA. Values from VASP.

Quantum ESPRESSO input file:
```
&SYSTEM
  ibrav = 0, nat = 20, ntyp = 3
/
ATOMIC_SPECIES
S 32.06 S.upf
Sn 118.71 Sn.upf
Os 190.23 Os.upf
ATOMIC_POSITIONS angstrom
S -8.7608 -4.1170 -5.9289
Sn -3.3090 -2.3329 0.1396
S -5.7740 -3.2474 -0.9849
Os -6.6527 -3.3135 -5.2874
S -1.8924 -1.1752 -8.7064
Os -4.6226 -4.6803 -2.4211
S 0.5192 -2.5815 -2.9462
S -6.4177 -5.3041 -3.8742
Sn -7.9662 -5.6610 -7.8480
Sn -8.8840 -6.3372 -3.2254
Os -10.8902 -5.3492 -0.2603
S -4.8576 -2.6898 -3.8343
Sn -2.3913 -1.6566 -4.4831
S -2.5144 -3.8769 -1.7795
S -11.7944 -5.4123 -4.7622
S -9.3829 -6.8187 0.9979
S -5.5013 -4.7465 -6.7236
Os -0.3850 -2.6447 -7.4482
S -9.0086 -4.5189 -1.3879
S -2.2666 -3.4750 -6.3206
CELL_PARAMETERS angstrom
-1.1375 0.1350 -8.8831
1.3711 -3.4160 -0.2275
-11.5089 -4.7128 1.4021
```

calculated volume	20.67	A^3/atom
electronic total energy	-5.753	eV/atom



[12]
Hf2TeMo: relaxed, PBE-GGA. Values from VASP.

Quantum ESPRESSO input file:
```
&SYSTEM
  ibrav = 0, nat = 4, ntyp = 3
/
ATOMIC_SPECIES
Mo 95.94 Mo.upf
Te 127.60 Te.upf
Hf 178.49 Hf.upf
ATOMIC_POSITIONS angstrom
Mo 0.0000 0.0000 0.0000
Te -1.0537 -2.7391 0.2676
Hf -2.1074 -5.4782 0.5352
Hf -3.1611 -8.2172 0.8028
CELL_PARAMETERS angstrom
-1.2107 -3.4567 3.1215
-3.7429 -2.8784 -0.9297
0.7387 -4.6212 -1.1214
```

calculated volume	19.70	A^3/atom
electronic total energy	-8.273	eV/atom



What did the tenth record say?
Tb5Co2Hg: relaxed, PBE-GGA. Values from VASP.

Quantum ESPRESSO input file:
```
&SYSTEM
  ibrav = 0, nat = 16, ntyp = 3
/
ATOMIC_SPECIES
Co 58.93 Co.upf
Tb 158.93 Tb.upf
Hg 200.59 Hg.upf
ATOMIC_POSITIONS angstrom
Co 4.8371 1.0266 0.0000
Tb 2.5810 1.2294 1.7560
Tb 1.2294 5.0399 -1.7560
Tb 1.2294 5.0399 1.7560
Tb 2.5810 1.2294 -1.7560
Co 2.7838 1.0266 6.6286
Tb 0.0000 0.0000 0.0000
Hg 0.0000 0.0000 9.9429
Co -1.0266 2.7838 6.6286
Tb 2.5810 -1.2294 8.3846
Tb 1.2294 2.5810 4.8726
Tb 1.2294 2.5810 8.3846
Tb 2.5810 -1.2294 4.8726
Hg 0.0000 0.0000 3.3143
Tb 0.0000 0.0000 6.6286
Co 1.0266 2.7838 0.0000
CELL_PARAMETERS angstrom
-3.8105 3.8105 6.6286
3.8105 -3.8105 6.6286
3.8105 3.8105 -6.6286
```

calculated volume	24.06	A^3/atom
calculated formation energy	-263	meV per atom
electronic total energy	-4.970	eV/atom